(1)
CrAuCl2: relaxed, PBE.

Values from the calculation:
Total DFT energy (no corrections) = -4.285 eV/atom
SG = No. 44
ΔE_f (raw) = -136 meV/atom
Calculated density = 5.8 g/cm3

abc: 6.964 6.964 6.964
angles: 154.44 141.20 47.04
Each line ends with the local moment (μB).
Atoms (fractional coordinates):
Au (0.340, 0.840, 0.500)  -0.02
Cr (0.516, 0.516, 0.000)  3.36
Cl (0.657, 0.157, 0.500)  -0.07
Cl (0.987, 0.987, 0.000)  -0.06



(2)
Li2LaMgCd5: relaxed, PBE.

Values from the calculation:
Total DFT energy (no corrections) = -1.827 eV/atom
SG = No. 123
Formation energy from the elements = -169 meV per atom
Calculated density = 6.1 g/cm3

abc: 5.078 5.078 7.854
angles: 90.00 90.00 90.00
Atoms (fractional coordinates):
Cd (0.500, 0.000, 0.772)
Cd (0.000, 0.500, 0.772)
Li (0.500, 0.500, 0.155)
Li (0.500, 0.500, 0.845)
Mg (0.000, 0.000, 0.000)
Cd (0.500, 0.500, 0.500)
La (0.000, 0.000, 0.500)
Cd (0.500, 0.000, 0.228)
Cd (0.000, 0.500, 0.228)



(3)
LuZr2Ti: relaxed, PBE.

Values from the calculation:
Total DFT energy (no corrections) = -7.165 eV/atom
SG = No. 225
Formation energy from the elements = 213 meV per atom
Calculated density = 7.4 g/cm3

abc: 5.058 5.058 5.058
angles: 60.00 60.00 60.00
Each line ends with the local moment (μB).
Atoms (fractional coordinates):
Zr (0.250, 0.250, 0.250)  -0.19
Ti (0.000, 0.000, 0.000)  -1.09
Lu (0.500, 0.500, 0.500)  -0.01
Zr (0.750, 0.750, 0.750)  -0.19



(4)
La2AlCdCu: relaxed, PBE.

Values from the calculation:
Total DFT energy (no corrections) = -3.823 eV/atom
SG = No. 123
Formation energy from the elements = -101 meV per atom
Calculated density = 5.5 g/cm3

abc: 5.635 4.571 5.635
angles: 90.00 90.00 90.00
Atoms (fractional coordinates):
Cd (0.500, 0.500, 0.500)
Cu (0.000, 0.000, 0.000)
La (0.500, 0.000, 0.000)
Al (0.000, 0.500, 0.000)
La (0.000, 0.000, 0.500)



(5)
PuPd6Pt: relaxed, PBE.

Values from the calculation:
Total DFT energy (no corrections) = -6.451 eV/atom
SG = No. 12
Formation energy from the elements = -10 meV per atom
Calculated density = 11.9 g/cm3

abc: 4.868 4.868 7.314
angles: 75.24 75.24 65.62
Each line ends with the local moment (μB).
Atoms (fractional coordinates):
Pd (0.555, 0.062, 0.300)  -0.14
Pd (0.938, 0.445, 0.700)  -0.14
Pd (0.062, 0.555, 0.300)  -0.14
Pd (0.647, 0.647, 0.056)  -0.11
Pd (0.353, 0.353, 0.944)  -0.11
Pu (0.500, 0.500, 0.500)  4.76
Pt (0.000, 0.000, 0.000)  -0.16
Pd (0.445, 0.938, 0.700)  -0.14



(6)
NbMo3: relaxed, PBE.

Values from the calculation:
Total DFT energy (no corrections) = -10.324 eV/atom
SG = No. 191
Formation energy from the elements = 317 meV per atom
Calculated density = 9.3 g/cm3

abc: 5.354 5.404 5.403
angles: 119.99 90.00 90.00
Atoms (fractional coordinates):
Nb (0.000, 0.000, 0.000)
Mo (0.750, 0.500, 0.500)
Nb (0.500, 0.000, 0.000)
Mo (0.250, 0.500, 0.000)
Mo (0.250, 0.000, 0.500)
Mo (0.250, 0.500, 0.500)
Mo (0.750, 0.500, 0.000)
Mo (0.750, 0.000, 0.500)



(7)
KTcRu2: relaxed, PBE.

Values from the calculation:
Total DFT energy (no corrections) = -6.411 eV/atom
SG = No. 44
Formation energy from the elements = 1093 meV per atom
Calculated density = 7.9 g/cm3

abc: 5.942 5.942 5.942
angles: 153.79 129.03 58.20
Atoms (fractional coordinates):
Ru (0.249, 0.749, 0.500)
Tc (0.462, 0.462, 0.000)
Ru (0.037, 0.037, 0.000)
K (0.751, 0.251, 0.500)



(8)
TbPr2Cd2In2: relaxed, PBE.

Values from the calculation:
Total DFT energy (no corrections) = -3.357 eV/atom
SG = No. 166
Formation energy from the elements = -286 meV per atom
Calculated density = 7.5 g/cm3

abc: 4.976 4.976 9.688
angles: 75.12 75.12 60.00
Atoms (fractional coordinates):
In (0.264, 0.264, 0.208)
Pr (0.128, 0.128, 0.617)
Cd (0.392, 0.392, 0.823)
Pr (0.872, 0.872, 0.383)
Tb (0.000, 0.000, 0.000)
Cd (0.608, 0.608, 0.177)
In (0.736, 0.736, 0.792)